Nd12Tl5N2, relaxed, DFT PBE; raw total energy = -4.908 eV per atom; density of states at the Fermi level = 18.7 states/eV/f.u.; SG = C2/m (12)
1.0
9.303 -3.742 0.000
9.303 3.742 0.000
-4.637 0.000 8.070
Nd Tl N
12 5 2
direct
0.000 0.000 0.192
0.000 0.000 0.808
0.090 0.623 0.356
0.096 0.602 0.848
0.377 0.910 0.644
0.398 0.904 0.152
0.499 0.499 0.174
0.501 0.501 0.826
0.602 0.096 0.848
0.623 0.090 0.356
0.904 0.398 0.152
0.910 0.377 0.644
0.253 0.253 0.006
0.253 0.253 0.500
0.500 0.500 0.500
0.747 0.747 0.500
0.747 0.747 0.994
0.241 0.759 0.000
0.759 0.241 0.000